# AlGaHg3 PBE optimized geometry
data_AlGaHg3
_space_group_name_H-M_alt 'P m -3 m'
_space_group_IT_number 221
_space_group_name_Hall '-P 4 2 3'
_cell_length_a 5.244
_cell_length_b 5.244
_cell_length_c 5.244
_cell_angle_alpha 90.00
_cell_angle_beta 90.00
_cell_angle_gamma 90.00
loop_
_atom_site_label
_atom_site_type_symbol
_atom_site_fract_x
_atom_site_fract_y
_atom_site_fract_z
_atom_site_occupancy
Al1 Al 0.000 0.000 0.000 1
Ga1 Ga 0.500 0.500 0.500 1
Hg1 Hg 0.000 0.000 0.500 1
# Total energy in eV per atom: -1.30
# Magnetic moment in μB/cell: 0.0
# Distance to the lowest polymorph of the same formula in meV per atom: 0
# Formation enthalpy at 0 K in kcal/mol of atoms: 5.4

---

# AlGaHg2 PBE optimized geometry
data_AlGaHg2
_space_group_name_H-M_alt 'F m -3 m'
_space_group_IT_number 225
_space_group_name_Hall '-F 4 2 3'
_cell_length_a 7.070
_cell_length_b 7.070
_cell_length_c 7.070
_cell_angle_alpha 90.00
_cell_angle_beta 90.00
_cell_angle_gamma 90.00
loop_
_atom_site_label
_atom_site_type_symbol
_atom_site_fract_x
_atom_site_fract_y
_atom_site_fract_z
_atom_site_occupancy
Al1 Al 0.000 0.000 0.000 1
Ga1 Ga 0.000 0.000 0.500 1
Hg1 Hg 0.250 0.250 0.250 1
# Total energy in eV per atom: -1.68
# Magnetic moment in μB/cell: 0.0
# Distance to the lowest polymorph of the same formula in meV per atom: 21
# Formation enthalpy at 0 K in kcal/mol of atoms: 3.9

---

# Al2GaHg PBE optimized geometry
data_Al2GaHg
_space_group_name_H-M_alt 'R -3 m'
_space_group_IT_number 166
_space_group_name_Hall '-R 3 2"'
_cell_length_a 2.9611
_cell_length_b 2.9611
_cell_length_c 31.5358
_cell_angle_alpha 90.00
_cell_angle_beta 90.00
_cell_angle_gamma 120.00
loop_
_atom_site_label
_atom_site_type_symbol
_atom_site_fract_x
_atom_site_fract_y
_atom_site_fract_z
_atom_site_occupancy
Al1 Al 0.0000 0.0000 0.0905 1
Ga1 Ga 0.0000 0.0000 0.5000 1
Hg1 Hg 0.0000 0.0000 0.0000 1
# Total energy in eV per atom: -2.57
# Magnetic moment in μB/cell: 0.0
# Distance to the lowest polymorph of the same formula in meV per atom: 2
# Formation enthalpy at 0 K in kcal/mol of atoms: 3.1

---

# AlGa2Hg PBE optimized geometry
data_AlGa2Hg
_space_group_name_H-M_alt 'I -4 2 d'
_space_group_IT_number 122
_space_group_name_Hall 'I -4 2bw'
_cell_length_a 3.996
_cell_length_b 3.996
_cell_length_c 20.623
_cell_angle_alpha 90.00
_cell_angle_beta 90.00
_cell_angle_gamma 90.00
loop_
_atom_site_label
_atom_site_type_symbol
_atom_site_fract_x
_atom_site_fract_y
_atom_site_fract_z
_atom_site_occupancy
Al1 Al 0.000 0.000 0.000 1
Ga1 Ga 0.242 0.250 0.125 1
Hg1 Hg 0.000 0.000 0.500 1
# Total energy in eV per atom: -2.40
# Magnetic moment in μB/cell: 0.0
# Distance to the lowest polymorph of the same formula in meV per atom: 54
# Formation enthalpy at 0 K in kcal/mol of atoms: 2.8

---

# Al2GaHg2 PBE optimized geometry
data_Al2GaHg2
_space_group_name_H-M_alt 'I 4/m m m'
_space_group_IT_number 139
_space_group_name_Hall '-I 4 2'
_cell_length_a 4.139
_cell_length_b 4.139
_cell_length_c 13.018
_cell_angle_alpha 90.00
_cell_angle_beta 90.00
_cell_angle_gamma 90.00
loop_
_atom_site_label
_atom_site_type_symbol
_atom_site_fract_x
_atom_site_fract_y
_atom_site_fract_z
_atom_site_occupancy
Al1 Al 0.000 0.500 0.250 1
Ga1 Ga 0.000 0.000 0.000 1
Hg1 Hg 0.000 0.000 0.392 1
# Total energy in eV per atom: -2.02
# Magnetic moment in μB/cell: 0.0
# Distance to the lowest polymorph of the same formula in meV per atom: 58
# Formation enthalpy at 0 K in kcal/mol of atoms: 4.6

---

# AlGa2Hg PBE optimized geometry
data_AlGa2Hg
_space_group_name_H-M_alt 'P -3 m 1'
_space_group_IT_number 164
_space_group_name_Hall '-P 3 2"'
_cell_length_a 3.0015
_cell_length_b 3.0015
_cell_length_c 10.4146
_cell_angle_alpha 90.00
_cell_angle_beta 90.00
_cell_angle_gamma 120.00
loop_
_atom_site_label
_atom_site_type_symbol
_atom_site_fract_x
_atom_site_fract_y
_atom_site_fract_z
_atom_site_occupancy
Al1 Al 0.0000 0.0000 0.0000 1
Ga1 Ga 0.3333 0.6667 0.2252 1
Hg1 Hg 0.0000 0.0000 0.5000 1
# Total energy in eV per atom: -2.42
# Magnetic moment in μB/cell: 0.0
# Distance to the lowest polymorph of the same formula in meV per atom: 37
# Formation enthalpy at 0 K in kcal/mol of atoms: 2.4

---

# Al2GaHg PBE optimized geometry
data_Al2GaHg
_space_group_name_H-M_alt 'P 4/m m m'
_space_group_IT_number 123
_space_group_name_Hall '-P 4 2'
_cell_length_a 3.158
_cell_length_b 3.158
_cell_length_c 7.685
_cell_angle_alpha 90.00
_cell_angle_beta 90.00
_cell_angle_gamma 90.00
loop_
_atom_site_label
_atom_site_type_symbol
_atom_site_fract_x
_atom_site_fract_y
_atom_site_fract_z
_atom_site_occupancy
Al1 Al 0.000 0.000 0.229 1
Ga1 Ga 0.500 0.500 0.000 1
Hg1 Hg 0.500 0.500 0.500 1
# Total energy in eV per atom: -2.57
# Magnetic moment in μB/cell: 0.0
# Distance to the lowest polymorph of the same formula in meV per atom: 0
# Formation enthalpy at 0 K in kcal/mol of atoms: 3.0

---

# Al2GaHg PBE optimized geometry
data_Al2GaHg
_space_group_name_H-M_alt 'P 4/m m m'
_space_group_IT_number 123
_space_group_name_Hall '-P 4 2'
_cell_length_a 4.293
_cell_length_b 4.293
_cell_length_c 4.228
_cell_angle_alpha 90.00
_cell_angle_beta 90.00
_cell_angle_gamma 90.00
loop_
_atom_site_label
_atom_site_type_symbol
_atom_site_fract_x
_atom_site_fract_y
_atom_site_fract_z
_atom_site_occupancy
Al1 Al 0.000 0.500 0.000 1
Ga1 Ga 0.000 0.000 0.500 1
Hg1 Hg 0.500 0.500 0.500 1
# Total energy in eV per atom: -2.55
# Magnetic moment in μB/cell: 0.0
# Distance to the lowest polymorph of the same formula in meV per atom: 24
# Formation enthalpy at 0 K in kcal/mol of atoms: 3.6

---

# AlGa2Hg PBE optimized geometry
data_AlGa2Hg
_space_group_name_H-M_alt 'F m -3 m'
_space_group_IT_number 225
_space_group_name_Hall '-F 4 2 3'
_cell_length_a 6.885
_cell_length_b 6.885
_cell_length_c 6.885
_cell_angle_alpha 90.00
_cell_angle_beta 90.00
_cell_angle_gamma 90.00
loop_
_atom_site_label
_atom_site_type_symbol
_atom_site_fract_x
_atom_site_fract_y
_atom_site_fract_z
_atom_site_occupancy
Al1 Al 0.000 0.000 0.000 1
Ga1 Ga 0.250 0.250 0.250 1
Hg1 Hg 0.000 0.000 0.500 1
# Total energy in eV per atom: -2.37
# Magnetic moment in μB/cell: 0.0
# Distance to the lowest polymorph of the same formula in meV per atom: 85
# Formation enthalpy at 0 K in kcal/mol of atoms: 3.5

---

# Al2GaHg PBE optimized geometry
data_Al2GaHg
_space_group_name_H-M_alt 'F m -3 m'
_space_group_IT_number 225
_space_group_name_Hall '-F 4 2 3'
_cell_length_a 6.798
_cell_length_b 6.798
_cell_length_c 6.798
_cell_angle_alpha 90.00
_cell_angle_beta 90.00
_cell_angle_gamma 90.00
loop_
_atom_site_label
_atom_site_type_symbol
_atom_site_fract_x
_atom_site_fract_y
_atom_site_fract_z
_atom_site_occupancy
Al1 Al 0.250 0.250 0.250 1
Ga1 Ga 0.000 0.000 0.000 1
Hg1 Hg 0.000 0.000 0.500 1
# Total energy in eV per atom: -2.53
# Magnetic moment in μB/cell: 0.0
# Distance to the lowest polymorph of the same formula in meV per atom: 46
# Formation enthalpy at 0 K in kcal/mol of atoms: 4.1

---

# Al4GaHg PBE optimized geometry
data_Al4GaHg
_space_group_name_H-M_alt 'F -4 3 m'
_space_group_IT_number 216
_space_group_name_Hall 'F -4 2 3'
_cell_length_a 7.768
_cell_length_b 7.768
_cell_length_c 7.768
_cell_angle_alpha 90.00
_cell_angle_beta 90.00
_cell_angle_gamma 90.00
loop_
_atom_site_label
_atom_site_type_symbol
_atom_site_fract_x
_atom_site_fract_y
_atom_site_fract_z
_atom_site_occupancy
Al1 Al 0.125 0.125 0.125 1
Ga1 Ga 0.250 0.250 0.750 1
Hg1 Hg 0.000 0.000 0.500 1
# Total energy in eV per atom: -2.83
# Magnetic moment in μB/cell: 0.0
# Formation enthalpy at 0 K in kcal/mol of atoms: 5.0

---

# Al3GaHg PBE optimized geometry
data_Al3GaHg
_space_group_name_H-M_alt 'P m -3 m'
_space_group_IT_number 221
_space_group_name_Hall '-P 4 2 3'
_cell_length_a 5.081
_cell_length_b 5.081
_cell_length_c 5.081
_cell_angle_alpha 90.00
_cell_angle_beta 90.00
_cell_angle_gamma 90.00
loop_
_atom_site_label
_atom_site_type_symbol
_atom_site_fract_x
_atom_site_fract_y
_atom_site_fract_z
_atom_site_occupancy
Al1 Al 0.000 0.000 0.500 1
Ga1 Ga 0.500 0.500 0.500 1
Hg1 Hg 0.000 0.000 0.000 1
# Total energy in eV per atom: -2.21
# Magnetic moment in μB/cell: 0.0
# Distance to the lowest polymorph of the same formula in meV per atom: 199
# Formation enthalpy at 0 K in kcal/mol of atoms: 16.2